No. 1
{"formula": "Dy2NbAl2Ru5", "functional": "PBE", "state": "relaxed", "e_tot_ev_per_atom": -7.755, "magnetic_moment_mub_per_cell": 0.00, "rho_g_cm3": 9.59, "dos_at_fermi_per_ev_atom": 0.811, "lattice_angstrom": [[3.305, 0.000, 0.000], [0.000, 10.121, 0.000], [0.000, 0.000, 10.121]], "species": ["Ru", "Ru", "Ru", "Ru", "Ru", "Ru", "Ru", "Ru", "Ru", "Ru", "Dy", "Dy", "Dy", "Dy", "Al", "Al", "Al", "Al", "Nb", "Nb"], "fractional_positions": [[0.500, 0.933, 0.199], [0.500, 0.301, 0.567], [0.500, 0.500, 0.000], [0.500, 0.000, 0.500], [0.500, 0.067, 0.801], [0.500, 0.801, 0.933], [0.500, 0.567, 0.699], [0.500, 0.699, 0.433], [0.500, 0.433, 0.301], [0.500, 0.199, 0.067], [0.000, 0.828, 0.672], [0.000, 0.172, 0.328], [0.000, 0.672, 0.172], [0.000, 0.328, 0.828], [0.000, 0.627, 0.873], [0.000, 0.127, 0.627], [0.000, 0.873, 0.373], [0.000, 0.373, 0.127], [0.000, 0.500, 0.500], [0.000, 0.000, 0.000]]}

No. 2
{"formula": "NdDy4Al2", "functional": "PBE", "state": "relaxed", "relative_energy_kj_per_mol_fu": 315, "magnetic_moment_mub_per_cell": 0.00, "rho_g_cm3": 6.90, "dos_at_fermi_per_ev_atom": 1.379, "lattice_angstrom": [[5.663, 0.000, 0.000], [0.000, 5.663, 0.000], [-2.832, -2.832, 6.367]], "species": ["Dy", "Dy", "Dy", "Dy", "Nd", "Al", "Al"], "fractional_positions": [[0.000, 0.500, 0.000], [0.750, 0.250, 0.500], [0.250, 0.750, 0.500], [0.500, 0.000, 0.000], [0.000, 0.000, 0.000], [0.615, 0.615, 0.229], [0.385, 0.385, 0.771]]}

No. 3
{"formula": "NdDy3Al8", "functional": "PBE", "state": "relaxed", "relative_energy_kj_per_mol_fu": 0, "magnetic_moment_mub_per_cell": 0.00, "rho_g_cm3": 5.69, "dos_at_fermi_per_ev_atom": 0.881, "lattice_angstrom": [[-3.829, 0.904, -3.963], [1.298, -0.803, -5.371], [-3.572, -8.694, -2.466]], "species": ["Nd", "Dy", "Dy", "Dy", "Al", "Al", "Al", "Al", "Al", "Al", "Al", "Al"], "fractional_positions": [[0.875, 0.875, 0.375], [0.375, 0.375, 0.874], [0.499, 0.499, 0.502], [0.000, 0.000, 0.000], [0.937, 0.436, 0.690], [0.438, 0.939, 0.185], [0.937, 0.937, 0.690], [0.939, 0.438, 0.185], [0.688, 0.688, 0.937], [0.438, 0.438, 0.185], [0.436, 0.937, 0.690], [0.187, 0.187, 0.439]]}

No. 4
{"formula": "Nd2DyAl", "functional": "PBE", "state": "relaxed", "relative_energy_kj_per_mol_fu": 47, "magnetic_moment_mub_per_cell": 0.00, "rho_g_cm3": 6.89, "dos_at_fermi_per_ev_atom": 1.670, "lattice_angstrom": [[5.461, 0.000, 0.000], [2.730, 4.729, 0.000], [2.730, 1.576, 4.459]], "species": ["Nd", "Nd", "Dy", "Al"], "fractional_positions": [[0.750, 0.750, 0.750], [0.250, 0.250, 0.250], [0.500, 0.500, 0.500], [0.000, 0.000, 0.000]]}